--- w ---
! InSn2TeW (GGA-PBE, relaxed); values from VASP
&SYSTEM
  ibrav = 0, nat = 5, ntyp = 4
/
ATOMIC_SPECIES
In 114.82 In.upf
Sn 118.71 Sn.upf
Te 127.60 Te.upf
W 183.84 W.upf
ATOMIC_POSITIONS angstrom
In 0.0000 0.0000 0.0000
Sn 2.6973 0.0000 0.0000
Sn 0.0000 0.0000 2.6973
Te 0.0000 2.7689 0.0000
W 2.6973 2.7689 2.6973
CELL_PARAMETERS angstrom
5.3945 0.0000 0.0000
0.0000 5.5379 0.0000
0.0000 0.0000 5.3945
! Fermi-level density of states ... 8.59 states/eV per cell

--- x ---
! InSn2TeW (GGA-PBE, relaxed); values from VASP
&SYSTEM
  ibrav = 0, nat = 5, ntyp = 4
/
ATOMIC_SPECIES
Te 127.60 Te.upf
Sn 118.71 Sn.upf
W 183.84 W.upf
In 114.82 In.upf
ATOMIC_POSITIONS angstrom
Te 0.0000 0.0000 0.0000
Sn -1.2634 -1.1262 2.3287
Sn 1.3046 -2.5153 -0.5087
W 2.2286 -2.8267 3.4008
In 2.1874 0.8148 1.5807
CELL_PARAMETERS angstrom
-2.5267 -2.2524 4.6574
2.6091 -5.0306 -1.0174
4.3748 1.6296 3.1615
! Fermi-level density of states ... 4.04 states/eV per cell

Structures ranked by computed energy, the most stable listed first: x, w.